No. 1
The following is a DFT calculation (PBE with a Hubbard U) of a geometry-optimized LiMn2F5 structure.

Properties
Theoretical density = 2.8 g cm⁻³
Excess energy over the best structure of this formula in the dataset = 2 meV per atom
Final energy = -5.996 eV per atom

a = 6.5194 Å, b = 8.6681 Å, c = 8.8729 Å
α = 90.00°, β = 90.00°, γ = 90.00°
Last column: nearest neighbours and their distance in Å.
Sites, in units of the cell vectors:
Li: 0.0000 0.2458 0.2385  4 F 1.87-1.91
Li: 0.5000 0.2542 0.7385  4 F 1.87-1.91
Li: 0.5000 0.7458 0.2615  4 F 1.87-1.91
Li: 0.0000 0.7542 0.7615  4 F 1.87-1.91
Mn: 0.2522 0.0000 0.0000  6 F 2.13-2.17
Mn: 0.7478 0.0000 0.0000  6 F 2.13-2.17
Mn: 0.0000 0.1409 0.6282  5 F 2.07-2.14
Mn: 0.5000 0.3591 0.1282  5 F 2.07-2.14
Mn: 0.2478 0.5000 0.5000  6 F 2.13-2.17
Mn: 0.7522 0.5000 0.5000  6 F 2.13-2.17
Mn: 0.5000 0.6409 0.8718  5 F 2.07-2.14
Mn: 0.0000 0.8591 0.3718  5 F 2.07-2.14
F: 0.0000 0.0841 0.8629  3 Mn 2.14-2.17
F: 0.5000 0.0753 0.8614  1 Li 1.90
F: 0.0000 0.0998 0.3933  1 Li 1.87
F: 0.2445 0.2166 0.1228  1 Li 1.91, 1 Mn 2.07
F: 0.7555 0.2166 0.1228  1 Li 1.91, 1 Mn 2.07
F: 0.2555 0.2834 0.6228  1 Li 1.91, 1 Mn 2.07
F: 0.7445 0.2834 0.6228  1 Li 1.91, 1 Mn 2.07
F: 0.5000 0.4002 0.8933  1 Li 1.87
F: 0.0000 0.4247 0.3614  1 Li 1.90
F: 0.5000 0.4159 0.3629  3 Mn 2.14-2.17
F: 0.5000 0.5841 0.6371  3 Mn 2.14-2.17
F: 0.0000 0.5753 0.6386  1 Li 1.90
F: 0.5000 0.5998 0.1067  1 Li 1.87
F: 0.2555 0.7166 0.3772  1 Li 1.91, 1 Mn 2.07
F: 0.7445 0.7166 0.3772  1 Li 1.91, 1 Mn 2.07
F: 0.2445 0.7834 0.8772  1 Li 1.91, 1 Mn 2.07
F: 0.7555 0.7834 0.8772  1 Li 1.91, 1 Mn 2.07
F: 0.0000 0.9002 0.6067  1 Li 1.87
F: 0.5000 0.9247 0.1386  1 Li 1.90
F: 0.0000 0.9159 0.1371  3 Mn 2.14-2.17

---

No. 2
The following is a DFT calculation (PBE with a Hubbard U) of a geometry-optimized Li2MnF4 structure.

Properties
Theoretical density = 2.4 g cm⁻³
Excess energy over the best structure of this formula in the dataset = 70 meV per atom
Final energy = -5.433 eV per atom

a = 5.4604 Å, b = 5.4604 Å, c = 5.4604 Å
α = 127.64°, β = 127.64°, γ = 77.21°
Last column: nearest neighbours and their distance in Å.
Sites, in units of the cell vectors:
Li: 0.5000 0.5000 0.0000  4 F 1.92
Li: 0.2500 0.7500 0.5000  4 F 1.87
Mn: 0.0000 0.0000 0.0000  4 F 2.03
F: 0.1814 0.6612 0.0702  2 Li 1.87-1.92, 1 Mn 2.03
F: 0.8888 0.8186 0.4799  2 Li 1.87-1.92, 1 Mn 2.03
F: 0.5911 0.1112 0.9298  2 Li 1.87-1.92, 1 Mn 2.03
F: 0.3388 0.4089 0.5201  2 Li 1.87-1.92, 1 Mn 2.03

---

No. 3
The following is a DFT calculation (PBE with a Hubbard U) of a geometry-optimized LiMn2F structure.

Properties
Theoretical density = 3.2 g cm⁻³
Excess energy over the best structure of this formula in the dataset = 435 meV per atom
Final energy = -4.687 eV per atom

a = 4.6291 Å, b = 4.6291 Å, c = 4.6291 Å
α = 60.00°, β = 60.00°, γ = 60.00°
Last column: nearest neighbours and their distance in Å.
Sites, in units of the cell vectors:
Mn: 0.2500 0.2500 0.2500  4 F 2.83, 4 Li 2.83
Mn: 0.7500 0.7500 0.7500  4 Li 2.83, 4 F 2.83
Li: 0.0000 0.0000 0.0000  8 Mn 2.83
F: 0.5000 0.5000 0.5000  8 Mn 2.83